# 1
The following is a DFT calculation (PBE) of crystalline Tb3PmNd6 at its relaxed geometry.

Lattice parameters (Å, degrees): 6.414 11.147 11.147 120.56 90.00 90.00
Atoms (fractional coordinates):
Tb 0.962 0.057 0.290
Nd 0.148 0.719 0.281
Nd 0.873 0.943 0.526
Pm 0.110 0.193 0.807
Nd 0.551 0.291 0.371
Nd 0.373 0.057 0.474
Nd 0.868 0.036 0.964
Nd 0.648 0.281 0.719
Nd 0.873 0.474 0.057
Tb 0.088 0.383 0.617
Tb 0.588 0.617 0.383
Nd 0.373 0.526 0.943
Nd 0.051 0.371 0.291
Pm 0.610 0.807 0.193
Nd 0.051 0.709 0.629
Tb 0.462 0.943 0.710
Nd 0.368 0.964 0.036
Tb 0.462 0.290 0.057
Tb 0.962 0.710 0.943
Nd 0.551 0.629 0.709

Its energy above the most stable polymorph in this dataset is 16 meV per atom. The total energy is -4.59 eV/atom. As for the space-group type: Cmc2_1 (36). The calculation puts the formation energy at 1.4 eV/f.u.


# 2
The following is a DFT calculation (PBE) of crystalline SrMoRh at its relaxed geometry.

Lattice parameters (Å, degrees): 4.184 4.184 5.073 90.00 90.00 120.00
Atoms (fractional coordinates):
Sr 0.333 0.667 0.665
Mo 0.000 0.000 0.161
Rh 0.667 0.333 0.174

Its energy above the most stable polymorph in this dataset is 29 meV per atom. The total energy is -6.26 eV/atom. As for the space-group type: P3m1 (156). The calculation puts the formation energy at 1.1 eV/f.u.


# 3
The following is a DFT calculation (PBE) of crystalline CaSbOs2 at its relaxed geometry.

Lattice parameters (Å, degrees): 5.915 5.915 5.915 150.06 132.07 57.55
Atoms (fractional coordinates):
Os 0.038 0.038 0.000
Ca 0.750 0.250 0.500
Os 0.243 0.743 0.500
Sb 0.469 0.469 0.000

The calculation puts the uncorrected formation energy at 0.430 eV/atom. The total energy is -6.72 eV/atom. As for the space-group type: Imm2 (44).


# 4
The following is a DFT calculation (PBE) of crystalline TcIr2Rh at its relaxed geometry.

Lattice parameters (Å, degrees): 3.318 3.318 5.402 90.00 90.00 90.00
Site moments in Bohr magnetons follow the coordinates.
Atoms (fractional coordinates):
Rh 0.000 0.000 0.499  0.02
Ir 0.000 0.000 0.000  0.02
Tc 0.500 0.500 0.754  0.13
Ir 0.500 0.500 0.247  -0.01

Its energy above the most stable polymorph in this dataset is 405 meV per atom. The total energy is -8.58 eV/atom. As for the space-group type: P4mm (99). The calculation puts the formation energy at 1.1 eV/f.u.


# 5
The following is a DFT calculation (PBE) of crystalline LuCo2Sn at its relaxed geometry.

Lattice parameters (Å, degrees): 4.481 4.482 4.482 60.00 60.00 60.00
Site moments in Bohr magnetons follow the coordinates.
Atoms (fractional coordinates):
Co 0.500 0.500 0.500  0.62
Co 0.000 0.000 0.000  0.62
Sn 0.250 0.250 0.250  -0.02
Lu 0.750 0.750 0.750  -0.14

The total energy is -6.01 eV/atom. As for the space-group type: Fm-3m (225). The calculation puts the formation energy at -1.3 eV/f.u.


# 6
The following is a DFT calculation (PBE) of crystalline K2RuPt2 at its relaxed geometry.

Lattice parameters (Å, degrees): 6.542 6.542 5.517 90.00 90.00 90.00
Atoms (fractional coordinates):
Pt 0.861 0.639 0.000
K 0.179 0.679 0.500
Ru 0.000 0.000 0.000
K 0.821 0.321 0.500
K 0.679 0.821 0.500
Pt 0.139 0.361 0.000
K 0.321 0.179 0.500
Pt 0.361 0.861 0.000
Ru 0.500 0.500 0.000
Pt 0.639 0.139 0.000

The total energy is -4.40 eV/atom. As for the space-group type: P4/mbm (127). The calculation puts the formation energy at 1.6 eV/f.u.


# 7
The following is a DFT calculation (PBE) of crystalline RbCd4Rh at its relaxed geometry.

Lattice parameters (Å, degrees): 5.388 7.213 8.997 90.00 107.43 90.00
Atoms (fractional coordinates):
Cd 0.791 0.542 0.581
Cd 0.209 0.458 0.419
Rh 0.886 0.250 0.772
Rb 0.592 0.250 0.184
Rh 0.114 0.750 0.228
Cd 0.627 0.750 0.253
Cd 0.791 0.958 0.581
Cd 0.000 0.000 0.000
Rb 0.408 0.750 0.816
Cd 0.209 0.042 0.419
Cd 0.000 0.500 0.000
Cd 0.373 0.250 0.747

The total energy is -2.03 eV/atom. As for the space-group type: Cmcm (63). The calculation puts the formation energy at -0.2 eV/f.u.


# 8
The following is a DFT calculation (PBE) of crystalline TlBSe2N at its relaxed geometry.

Lattice parameters (Å, degrees): 6.578 6.578 2.666 90.00 90.00 90.00
Atoms (fractional coordinates):
Se 0.500 0.000 0.000
N 0.000 0.000 0.500
Tl 0.500 0.500 0.500
B 0.000 0.000 0.000
Se 0.000 0.500 0.000

Its energy above the most stable polymorph in this dataset is 0 meV per atom. The calculation puts the uncorrected formation energy at 0.057 eV/atom. The total energy is -4.81 eV/atom. As for the space-group type: P4/mmm (123).


# 9
The following is a DFT calculation (PBE) of crystalline InPd2Ru at its relaxed geometry.

Lattice parameters (Å, degrees): 3.882 3.882 9.817 78.60 78.60 90.00
Site moments in Bohr magnetons follow the coordinates.
Atoms (fractional coordinates):
Ru 0.500 0.500 0.000  1.02
Pd 0.375 0.383 0.750  0.12
Pd 0.133 0.625 0.250  0.13
In 0.750 0.250 0.500  -0.03
Pd 0.875 0.867 0.750  0.13
Ru 0.250 0.750 0.500  1.02
Pd 0.617 0.125 0.250  0.13
In 0.000 0.000 0.000  -0.03

The total energy is -5.31 eV/atom. As for the space-group type: I-42d (122). The calculation puts the formation energy at 1.2 eV/f.u.


# 10
The following is a DFT calculation (PBE) of crystalline AcCe2Si6 at its relaxed geometry.

Lattice parameters (Å, degrees): 4.287 7.136 7.136 120.00 90.00 90.00
Atoms (fractional coordinates):
Ce 0.000 0.667 0.333
Ac 0.000 0.000 0.000
Si 0.500 0.662 0.662
Si 0.500 0.662 0.000
Si 0.500 0.000 0.662
Si 0.500 0.000 0.338
Ce 0.000 0.333 0.667
Si 0.500 0.338 0.338
Si 0.500 0.338 0.000

Its energy above the most stable polymorph in this dataset is 0 meV per atom. The calculation puts the uncorrected formation energy at -0.588 eV/atom. The total energy is -5.98 eV/atom. As for the space-group type: P6/mmm (191).


# 11
The following is a DFT calculation (PBE) of crystalline MgSc4Al at its relaxed geometry.

Lattice parameters (Å, degrees): 5.828 5.828 5.828 60.00 60.00 60.00
Atoms (fractional coordinates):
Sc 0.376 0.376 0.376
Sc 0.376 0.376 0.873
Sc 0.376 0.873 0.376
Mg 0.000 0.000 0.000
Al 0.750 0.750 0.750
Sc 0.873 0.376 0.376

Its energy above the most stable polymorph in this dataset is 172 meV per atom. The total energy is -4.89 eV/atom. As for the space-group type: F-43m (216). The calculation puts the formation energy at 1.3 eV/f.u.


# 12
The following is a DFT calculation (PBE) of crystalline Cd2HgAu at its relaxed geometry.

Lattice parameters (Å, degrees): 4.381 4.381 10.324 77.75 77.75 90.00
Atoms (fractional coordinates):
Cd 0.612 0.125 0.250
Cd 0.375 0.388 0.750
Hg 0.750 0.250 0.500
Hg 0.000 0.000 0.000
Cd 0.138 0.625 0.250
Au 0.500 0.500 0.000
Au 0.250 0.750 0.500
Cd 0.875 0.862 0.750

Its energy above the most stable polymorph in this dataset is 100 meV per atom. The total energy is -1.33 eV/atom. As for the space-group type: I-42d (122). The calculation puts the formation energy at 0.1 eV/f.u.


# 13
The following is a DFT calculation (PBE) of crystalline TbSm2Hg at its relaxed geometry.

Lattice parameters (Å, degrees): 3.655 3.655 10.981 80.42 80.42 60.00
Atoms (fractional coordinates):
Tb 0.500 0.500 0.500
Hg 0.000 0.000 0.000
Sm 0.743 0.743 0.770
Sm 0.257 0.257 0.230

Its energy above the most stable polymorph in this dataset is 81 meV per atom. The total energy is -3.74 eV/atom. As for the space-group type: R-3m (166). The calculation puts the formation energy at -0.6 eV/f.u.


# 14
The following is a DFT calculation (PBE) of crystalline Ca8IrAu2 at its relaxed geometry.

Lattice parameters (Å, degrees): 6.553 7.997 7.997 114.28 102.63 102.63
Atoms (fractional coordinates):
Ca 0.961 0.797 0.176
Ca 0.808 0.661 0.661
Ir 0.198 0.996 0.996
Ca 0.343 0.919 0.654
Ca 0.180 0.343 0.343
Ca 0.343 0.654 0.919
Au 0.530 0.716 0.342
Au 0.530 0.342 0.716
Ca 0.572 0.090 0.341
Ca 0.961 0.176 0.797
Ca 0.572 0.341 0.090

Its energy above the most stable polymorph in this dataset is 0 meV per atom. The total energy is -3.27 eV/atom. As for the space-group type: Cm (8). The calculation puts the formation energy at -4.5 eV/f.u.


# 15
The following is a DFT calculation (PBE) of crystalline Al3Sn3Pb at its relaxed geometry.

Lattice parameters (Å, degrees): 7.621 7.621 7.621 90.00 90.00 90.00
Atoms (fractional coordinates):
Sn 0.500 0.000 0.750
Pb 0.500 0.500 0.500
Al 0.500 0.750 0.000
Al 0.750 0.000 0.500
Sn 0.000 0.250 0.500
Sn 0.750 0.500 0.000
Pb 0.000 0.000 0.000
Sn 0.500 0.000 0.250
Sn 0.250 0.500 0.000
Al 0.250 0.000 0.500
Sn 0.000 0.750 0.500
Al 0.000 0.500 0.750
Al 0.000 0.500 0.250
Al 0.500 0.250 0.000

The total energy is -3.42 eV/atom. As for the space-group type: Pm-3n (223). The calculation puts the formation energy at 3.0 eV/f.u.


# 16
The following is a DFT calculation (PBE) of crystalline BaMoW2 at its relaxed geometry.

Lattice parameters (Å, degrees): 4.790 4.790 4.790 60.00 60.00 60.00
Atoms (fractional coordinates):
W 0.250 0.250 0.250
W 0.750 0.750 0.750
Mo 0.000 0.000 0.000
Ba 0.500 0.500 0.500

Its energy above the most stable polymorph in this dataset is 672 meV per atom. The total energy is -8.15 eV/atom. As for the space-group type: Fm-3m (225). The calculation puts the formation energy at 6.1 eV/f.u.


# 17
The following is a DFT calculation (PBE) of crystalline SrLiYAu at its relaxed geometry.

Lattice parameters (Å, degrees): 5.304 5.304 5.304 60.00 60.00 60.00
Atoms (fractional coordinates):
Li 0.500 0.500 0.500
Y 0.750 0.750 0.750
Sr 0.250 0.250 0.250
Au 0.000 0.000 0.000

The total energy is -3.64 eV/atom. As for the space-group type: F-43m (216). The calculation puts the formation energy at -1.2 eV/f.u.


# 18
The following is a DFT calculation (PBE) of crystalline AlN3F at its relaxed geometry.

Lattice parameters (Å, degrees): 3.759 3.759 3.759 90.00 90.00 90.00
Site moments in Bohr magnetons follow the coordinates.
Atoms (fractional coordinates):
N 0.000 0.500 0.000  0.67
Al 0.000 0.000 0.000  -0.03
N 0.000 0.000 0.500  0.82
F 0.500 0.500 0.500  0.44
N 0.500 0.000 0.000  0.68

The calculation puts the uncorrected formation energy at 1.521 eV/atom. The total energy is -4.60 eV/atom. As for the space-group type: Pm-3m (221).


# 19
The following is a DFT calculation (PBE) of crystalline Sc2ReHg at its relaxed geometry.

Lattice parameters (Å, degrees): 4.678 3.471 4.677 90.00 90.00 90.00
Atoms (fractional coordinates):
Sc 0.000 0.125 0.875
Sc 0.500 0.125 0.375
Re 0.500 0.625 0.875
Hg 0.000 0.625 0.375

The total energy is -6.48 eV/atom. As for the space-group type: P4/mmm (123). The calculation puts the formation energy at -0.5 eV/f.u.


# 20
The following is a DFT calculation (PBE) of crystalline TbHfAlTc at its relaxed geometry.

Lattice parameters (Å, degrees): 4.829 4.829 4.829 60.00 60.00 60.00
Atoms (fractional coordinates):
Hf 0.500 0.500 0.500
Tc 0.250 0.250 0.250
Al 0.750 0.750 0.750
Tb 0.000 0.000 0.000

The total energy is -7.39 eV/atom. As for the space-group type: F-43m (216). The calculation puts the formation energy at -0.9 eV/f.u.